PmPu2Ag | PBE | optimized geometry

a b c (Å): 3.8255 3.8255 7.5879
angles (deg): 90.00 90.00 90.00
Sites, in units of the cell vectors:
1 Pm 0.0000 0.0000 0.0000
2 Pu 0.5000 0.5000 0.2876
3 Pu 0.5000 0.5000 0.7124
4 Ag 0.0000 0.0000 0.5000

Values from the calculation:
The value obtained for the formation energy is 212.0 meV/atom. The value obtained for the total energy is -8.8544 eV/atom.

---

Co2IrAuN | PBE | optimized geometry

a b c (Å): 3.9222 3.9222 4.0192
angles (deg): 90.00 90.00 90.00
Sites, in units of the cell vectors:
1 Co 0.0000 0.5000 0.0000
2 Co 0.5000 0.0000 0.0000
3 Ir 0.0000 0.0000 0.5000
4 Au 0.5000 0.5000 0.5000
5 N 0.0000 0.0000 0.0000

Values from the calculation:
The value obtained for the total energy is -6.6800 eV/atom.

---

Sm5Er6In | PBE | optimized geometry

a b c (Å): 9.3388 9.3388 9.3388
angles (deg): 149.17 115.30 73.37
Sites, in units of the cell vectors:
1 Sm 0.0000 0.0000 0.0000
2 Sm 0.1628 0.6628 0.5000
3 Sm 0.3328 0.3328 0.0000
4 Sm 0.6672 0.6672 0.0000
5 Sm 0.8372 0.3372 0.5000
6 Er 0.0892 0.8348 0.2543
7 Er 0.2565 0.5000 0.7565
8 Er 0.4195 0.1652 0.2543
9 Er 0.5805 0.8348 0.7457
10 Er 0.7435 0.5000 0.2435
11 Er 0.9108 0.1652 0.7457
12 In 0.5000 0.0000 0.5000

Values from the calculation:
The value obtained for the formation energy is -49.7 meV/atom. The value obtained for the total energy is -4.5256 eV/atom.

---

La3BiAsN | PBE | optimized geometry

a b c (Å): 9.2977 4.3933 9.7536
angles (deg): 90.00 102.02 90.00
Sites, in units of the cell vectors:
1 La 0.0766 0.2500 0.3440
2 La 0.3422 0.2500 0.9817
3 La 0.3917 0.7500 0.6656
4 La 0.6083 0.2500 0.3344
5 La 0.6578 0.7500 0.0183
6 La 0.9234 0.7500 0.6560
7 Bi 0.3172 0.7500 0.2778
8 Bi 0.6828 0.2500 0.7222
9 As 0.1513 0.2500 0.6547
10 As 0.8487 0.7500 0.3453
11 N 0.4149 0.7500 0.8989
12 N 0.5851 0.2500 0.1011

Values from the calculation:
The value obtained for the total energy is -6.5664 eV/atom.

---

CdPtSe2N | PBE | optimized geometry

a b c (Å): 5.2389 5.2389 4.0260
angles (deg): 90.00 90.00 90.00
Sites, in units of the cell vectors:
1 Cd 0.0000 0.0000 0.0000
2 Pt 0.5000 0.5000 0.5000
3 Se 0.0000 0.5000 0.0000
4 Se 0.5000 0.0000 0.0000
5 N 0.0000 0.0000 0.5000

Values from the calculation:
Its excess energy over the best structure of this formula in the dataset is 1071 meV per atom. The value obtained for the total energy is -2.9767 eV/atom.

---

Sm2ReN4 | PBE | optimized geometry

a b c (Å): 5.9424 5.8997 6.6770
angles (deg): 90.00 107.91 90.00
Sites, in units of the cell vectors:
1 Sm 0.1825 0.2500 0.0388
2 Sm 0.2503 0.2500 0.5605
3 Sm 0.7497 0.7500 0.4395
4 Sm 0.8175 0.7500 0.9612
5 Re 0.2769 0.7500 0.8107
6 Re 0.7231 0.2500 0.1893
7 N 0.0477 0.5143 0.7536
8 N 0.0477 0.9857 0.7536
9 N 0.4548 0.7500 0.0863
10 N 0.4641 0.7500 0.6378
11 N 0.5359 0.2500 0.3622
12 N 0.5452 0.2500 0.9137
13 N 0.9523 0.0143 0.2464
14 N 0.9523 0.4857 0.2464

Values from the calculation:
Its excess energy over the best structure of this formula in the dataset is 0 meV per atom. The value obtained for the total energy is -8.7368 eV/atom.

---

Te3Rh | PBE | optimized geometry

a b c (Å): 3.6901 3.6901 9.0803
angles (deg): 90.00 90.00 120.00
Sites, in units of the cell vectors:
1 Te 0.0000 0.0000 0.0000
2 Te 0.6667 0.3333 0.3210
3 Te 0.6667 0.3333 0.6790
4 Rh 0.0000 0.0000 0.5000

Values from the calculation:
The value obtained for the total energy is -4.1937 eV/atom.

---

Cs2SiSnSe4 | PBE | optimized geometry

a b c (Å): 14.7321 13.0662 8.2635
angles (deg): 84.16 61.92 33.92
Sites, in units of the cell vectors:
1 Cs 0.0557 0.0557 0.6943
2 Cs 0.3057 0.3057 0.9443
3 Cs 0.6943 0.6943 0.0557
4 Cs 0.9443 0.9443 0.3057
5 Si 0.3750 0.3750 0.3750
6 Si 0.6250 0.6250 0.6250
7 Sn 0.1250 0.1250 0.1250
8 Sn 0.8750 0.8750 0.8750
9 Se 0.0457 0.3167 0.3993
10 Se 0.2617 0.6007 0.6833
11 Se 0.3167 0.0457 0.7383
12 Se 0.3993 0.7383 0.0457
13 Se 0.6007 0.2617 0.9543
14 Se 0.6833 0.9543 0.2617
15 Se 0.7383 0.3993 0.3167
16 Se 0.9543 0.6833 0.6007

Values from the calculation:
The value obtained for the total energy is -3.7573 eV/atom.

---

In4NiPb2 | PBE | optimized geometry

a b c (Å): 9.4989 9.4989 9.4989
angles (deg): 150.55 150.55 42.13
Sites, in units of the cell vectors:
1 In 0.0000 0.5000 0.5000
2 In 0.1435 0.1435 0.0000
3 In 0.5000 0.0000 0.5000
4 In 0.8565 0.8565 0.0000
5 Ni 0.0000 0.0000 0.0000
6 Pb 0.3120 0.3120 0.0000
7 Pb 0.6880 0.6880 0.0000

Values from the calculation:
The value obtained for the formation energy is 75.2 meV/atom. The value obtained for the total energy is -3.3751 eV/atom.

---

Th2Ga4CoIr3 | PBE | optimized geometry

a b c (Å): 4.2221 4.2221 10.3651
angles (deg): 90.00 90.00 90.00
Sites, in units of the cell vectors:
1 Th 0.0000 0.5000 0.2422
2 Th 0.5000 0.0000 0.7578
3 Ga 0.0000 0.0000 0.5000
4 Ga 0.0000 0.5000 0.8796
5 Ga 0.5000 0.0000 0.1204
6 Ga 0.5000 0.5000 0.5000
7 Co 0.5000 0.5000 0.0000
8 Ir 0.0000 0.0000 0.0000
9 Ir 0.0000 0.5000 0.6404
10 Ir 0.5000 0.0000 0.3596

Values from the calculation:
The value obtained for the formation energy is -666.4 meV/atom. The value obtained for the total energy is -6.7300 eV/atom.

---

LiMn3Ru | PBE | optimized geometry

a b c (Å): 3.8672 3.8672 3.8672
angles (deg): 90.00 90.00 90.00
Sites, in units of the cell vectors:
1 Li 0.0000 0.0000 0.0000
2 Mn 0.0000 0.0000 0.5000
3 Mn 0.0000 0.5000 0.0000
4 Mn 0.5000 0.0000 0.0000
5 Ru 0.5000 0.5000 0.5000

Values from the calculation:
Its excess energy over the best structure of this formula in the dataset is 219 meV per atom. The value obtained for the formation energy is 1178.6 meV/atom. The value obtained for the total energy is -6.5610 eV/atom.

---

RbSnSeN2 | PBE | optimized geometry

a b c (Å): 4.5170 4.5170 5.4508
angles (deg): 90.00 90.00 90.00
Sites, in units of the cell vectors:
1 Rb 0.0000 0.0000 0.0000
2 Sn 0.5000 0.5000 0.5000
3 Se 0.5000 0.5000 0.0000
4 N 0.0000 0.5000 0.5000
5 N 0.5000 0.0000 0.5000

Values from the calculation:
Its excess energy over the best structure of this formula in the dataset is 0 meV per atom. The value obtained for the total energy is -4.1930 eV/atom.